Entry 1:
Ho6ErTh | PBE-GGA | relaxed

D(E_F)	1.86	states/eV/atom
M_tot	0.0	μB per formula unit
energy relative to the elements	0.223	eV/atom

```
8
Lattice="-0.704 6.602 0.177 -2.325 -0.720 6.065 4.881 3.807 2.644" Properties=species:S:1:pos:R:3 pbc="T T T"
Ho 0.465 1.839 5.866
Ho 2.592 6.831 7.221
Ho 1.387 7.850 3.021
Ho -0.740 2.858 1.665
Ho 1.630 4.583 2.975
Ho 0.222 5.106 5.911
Th -1.163 -0.360 3.033
Er 0.000 0.000 0.000
```

***

Entry 2:
SmPaInGa | PBE-GGA | relaxed

D(E_F)	1.98	states/eV/atom
M_tot	1.5	μB per formula unit
energy relative to the elements	-0.137	eV/atom

```
4
Lattice="-2.520 -1.844 -4.227 2.294 -3.601 -3.064 -1.792 -4.940 -0.043" Properties=species:S:1:pos:R:3 pbc="T T T"
In -1.513 -7.788 -5.500
Sm -1.009 -5.192 -3.667
Ga -0.504 -2.596 -1.833
Pa 0.000 0.000 0.000
```

***

Entry 3:
Dy2PaMoC4 | PBE-GGA | relaxed

D(E_F)	0.44	states/eV/atom
M_tot	0.0	μB per formula unit
energy relative to the elements	-0.038	eV/atom

```
16
Lattice="-3.412 -0.550 0.124 2.223 -3.880 -4.269 1.698 -8.567 8.672" Properties=species:S:1:pos:R:3 pbc="T T T"
Mo -0.080 -9.534 3.698
Mo 0.589 -3.464 0.829
C 1.736 -10.141 2.742
C 0.509 -3.404 -1.101
C 0.000 -9.593 5.629
C -1.227 -2.856 1.785
C 0.849 -4.284 4.336
C 0.899 -5.371 0.890
C 0.000 0.000 0.000
C -0.390 -7.627 3.638
Pa 1.381 -7.292 5.626
Pa -0.872 -5.705 -1.099
Dy -1.506 -1.689 -0.705
Dy 2.015 -11.309 5.233
Dy -0.787 -5.317 2.967
Dy 1.296 -7.681 1.561
```

***

Entry 4:
Hf3CoW | PBE-GGA | relaxed

D(E_F)	1.58	states/eV/atom
M_tot	0.0	μB per formula unit
energy relative to the elements	0.608	eV/atom

```
5
Lattice="4.682 0.000 0.000 0.000 4.682 0.000 0.000 0.000 4.682" Properties=species:S:1:pos:R:3 pbc="T T T"
Hf 0.000 0.000 2.341
Hf 2.341 0.000 0.000
Hf 0.000 2.341 0.000
W 2.341 2.341 2.341
Co 0.000 0.000 0.000
```

***

The highest M_tot belongs to which entry? SmPaInGa